(1)
Mg5Cd3: optimized geometry, PBE.

Results
Uncorrected energy, eV/cell: -22.322
E_form, eV/atom: -0.055
Theoretical density, kg/m3: 4226
M_tot, μB/f.u.: 0.0

Cell and atoms, written as extended XYZ:
```
16
Lattice="8.3973 0.0506 -0.0814 -6.4501 5.3772 -0.0814 -1.0576 -2.9480 8.0150" Properties=species:S:1:pos:R:3 pbc="T T T"
Mg -0.1622 3.0824 2.3217
Cd 1.5255 4.0485 -0.1185
Mg 4.1556 -0.0948 3.8908
Cd 2.1632 2.1562 3.8890
Mg 3.1597 1.7599 1.1265
Cd 0.4224 1.3810 -0.0372
Cd 3.7270 -1.2895 6.6500
Mg 1.1110 -0.4376 2.4031
Mg -0.2209 2.9198 5.4559
Mg -5.2126 1.7778 6.7319
Mg -3.2651 2.5770 3.9680
Mg 6.1033 0.7038 1.1265
Mg -2.2697 0.7220 6.7319
Mg 1.0530 -0.6004 5.5372
Cd -2.8366 3.7712 1.2089
Cd -1.2728 0.3257 3.9703
```

---

(2)
U2Co4Si3Ir: optimized geometry, PBE.

Results
Uncorrected energy, eV/cell: -81.498
Theoretical density, kg/m3: 11384
Energy relative to the elements, uncorrected, eV/atom: -0.537
M_tot, μB/f.u.: 0.0

Cell and atoms, written as extended XYZ:
```
10
Lattice="-3.0474 -2.0553 -0.0915 0.4163 -0.4560 -3.6247 5.8425 -8.7418 1.7707" Properties=species:S:1:pos:R:3 pbc="T T T"
U -0.0365 -3.2528 0.4050
Co 0.0000 0.0000 0.0000
Si 2.9212 -4.3709 0.8854
Co 2.1327 -3.1076 -1.2290
U 4.5635 -6.7446 -0.4923
Si 0.8981 -1.2602 -1.6032
Co -1.3156 -1.2556 -1.8581
Ir 1.6057 -5.6265 -0.9727
Si 3.6289 -8.7372 1.5159
Co 2.3942 -6.8898 1.1417
```

---

(3)
Zr2C2I: optimized geometry, PBE.

Results
Uncorrected energy, eV/cell: -71.469
Theoretical density, kg/m3: 7069
Energy relative to the elements, uncorrected, eV/atom: 0.272
M_tot, μB/f.u.: 0.0

Cell and atoms, written as extended XYZ:
```
10
Lattice="6.9267 0.0000 0.0000 0.0000 6.9267 0.0000 0.0000 0.0000 3.2642" Properties=species:S:1:pos:R:3 pbc="T T T"
C 2.9896 6.4529 0.0000
I 3.4633 3.4633 0.0000
Zr 1.9634 1.5000 1.6321
Zr 5.4267 1.9634 1.6321
C 0.4738 2.9896 0.0000
Zr 1.5000 4.9633 1.6321
C 3.9371 0.4738 0.0000
I 0.0000 0.0000 0.0000
C 6.4529 3.9371 0.0000
Zr 4.9633 5.4267 1.6321
```

---

(4)
CeDy4Sn4: optimized geometry, PBE.

Results
Uncorrected energy, eV/cell: -87.687
E_form, eV/atom: -0.388
Theoretical density, kg/m3: 6935
M_tot, μB/f.u.: 1.7

Cell and atoms, written as extended XYZ:
```
18
Lattice="-5.9371 0.2457 -1.5020 -2.1347 -6.2728 7.4119 -1.2400 7.7029 6.1619" Properties=species:S:1:pos:R:3 pbc="T T T"
Ce 0.0000 0.0000 0.0000
Sn -3.2913 0.1027 10.6002
Sn -1.2355 1.3751 2.6821
Sn -4.7874 3.7627 4.6077
Dy -3.8524 -3.1795 4.8803
Sn -7.0512 -3.1500 4.7731
Dy -7.6453 2.9659 8.3732
Sn -4.7393 2.1654 9.0095
Dy -6.3223 -0.4521 9.7345
Dy -4.1881 4.8028 7.5131
Dy -6.3323 -1.0969 2.5182
Sn -3.4204 -0.5372 3.3538
Ce -4.6559 0.8379 6.0359
Sn -7.0455 5.0239 6.0882
Dy -4.2606 2.1806 2.0157
Sn -5.6765 -2.0391 7.1727
Dy -2.9381 -2.2553 8.5675
Dy -1.7078 3.7380 4.6847
```